Record 1
This record from Alexandria describes crystalline GaNi2Ir at its relaxed geometry. The functional is PBE-GGA.

## Properties
- Total DFT energy (no corrections): -6.094 eV per atom
- ΔH_f (0 K): -231 meV per atom

abc: 3.7681 3.6584 3.6584
angles: 90.00 90.00 90.00
With the nearest neighbours (Å) after each atom.
Atoms (fractional coordinates):
1 Ni 0.0000 0.0000 0.5000  4 Ni 2.59, 4 Ga 2.63, 4 Ir 2.63
2 Ni 0.0000 0.5000 0.0000  4 Ni 2.59, 4 Ir 2.63, 4 Ga 2.63
3 Ir 0.5000 0.0000 0.0000  4 Ga 2.59, 8 Ni 2.63
4 Ga 0.5000 0.5000 0.5000  4 Ir 2.59, 8 Ni 2.63

Record 2
This record from Alexandria describes crystalline CsCrI4 at its relaxed geometry. The functional is PBE-GGA.

## Properties
- Total DFT energy (no corrections): -3.484 eV per atom
- ΔE_f (raw): -0.70 eV/atom
- Relative energy among the computed polymorphs: 0.0035 eV per atom

abc: 7.3551 7.4110 10.5926
angles: 112.12 110.31 89.99
With the nearest neighbours (Å) after each atom.
Atoms (fractional coordinates):
1 Cs 0.7934 0.7500 0.0000  8 I 3.89-4.30
2 Cs 0.2066 0.2500 0.0000  8 I 3.89-4.30
3 Cr 0.5000 0.0000 0.5000  6 I 2.72-2.81
4 Cr 0.0000 0.5000 0.5000  6 I 2.72-2.81
5 I 0.5636 0.1320 0.7911  1 Cr 2.72
6 I 0.7726 0.3680 0.2089  1 Cr 2.72
7 I 0.4364 0.8680 0.2089  1 Cr 2.72
8 I 0.2274 0.6320 0.7911  1 Cr 2.72
9 I 0.8594 0.8577 0.5714  2 Cr 2.77-2.81
10 I 0.2880 0.6423 0.4287  2 Cr 2.78-2.81
11 I 0.1406 0.1423 0.4286  2 Cr 2.77-2.81
12 I 0.7120 0.3577 0.5713  2 Cr 2.78-2.81

Record 3
This record from Alexandria describes crystalline LaSm2HoTl4 at its relaxed geometry. The functional is PBE-GGA.

## Properties
- Total DFT energy (no corrections): -3.918 eV per atom
- ΔH_f (0 K): -367 meV per atom

abc: 5.4765 5.4765 9.5304
angles: 73.30 73.30 60.00
With the nearest neighbours (Å) after each atom.
Atoms (fractional coordinates):
1 La 0.0000 0.0000 0.0000  8 Tl 3.38-3.43
2 Sm 0.7510 0.7510 0.7469  8 Tl 3.29-3.47
3 Sm 0.2490 0.2490 0.2531  8 Tl 3.29-3.47
4 Ho 0.5000 0.5000 0.5000  8 Tl 3.30-3.34
5 Tl 0.3775 0.3775 0.8676  1 Ho 3.30, 4 Sm 3.34-3.47, 3 La 3.38
6 Tl 0.8729 0.8729 0.3814  4 Sm 3.29-3.37, 3 Ho 3.34, 1 La 3.43
7 Tl 0.1271 0.1271 0.6186  4 Sm 3.29-3.37, 3 Ho 3.34, 1 La 3.43
8 Tl 0.6225 0.6225 0.1324  1 Ho 3.30, 4 Sm 3.34-3.47, 3 La 3.38

Record 4
This record from Alexandria describes crystalline Ba7NaPd2 at its relaxed geometry. The functional is PBE-GGA.

## Properties
- Total DFT energy (no corrections): -2.690 eV per atom
- ΔH_f (0 K): -173 meV per atom

abc: 6.1968 9.8384 9.8384
angles: 114.48 90.00 90.00
With the nearest neighbours (Å) after each atom.
Atoms (fractional coordinates):
1 Ba 0.0000 0.7009 0.2991  2 Pd 3.10
2 Ba 0.0000 0.2991 0.7009  2 Pd 3.10
3 Ba 0.5000 0.0514 0.3289  2 Pd 3.34-3.46
4 Ba 0.5000 0.9486 0.6711  2 Pd 3.34-3.46
5 Ba 0.5000 0.3289 0.0514  2 Pd 3.34-3.46
6 Ba 0.5000 0.6711 0.9486  2 Pd 3.34-3.46
7 Ba 0.5000 0.5000 0.5000  2 Pd 3.33
8 Na 0.0000 0.0000 0.0000  8 Ba 4.36
9 Pd 0.5000 0.7010 0.2990  7 Ba 3.10-3.46
10 Pd 0.5000 0.2990 0.7010  7 Ba 3.10-3.46